# Be2CoSeO6 PBE with a Hubbard U optimized geometry
data_Be2CoSeO6
_space_group_name_H-M_alt 'C 1 2/c 1'
_space_group_IT_number 15
_cell_length_a 9.8776
_cell_length_b 8.2373
_cell_length_c 5.1545
_cell_angle_alpha 90.00
_cell_angle_beta 114.49
_cell_angle_gamma 90.00
loop_
_space_group_symop_operation_xyz
'x,y,z'
'-x,-y,-z'
'-x,y,-z+1/2'
'x,-y,z+1/2'
'x+1/2,y+1/2,z'
'-x+1/2,-y+1/2,-z'
'-x+1/2,y+1/2,-z+1/2'
'x+1/2,-y+1/2,z+1/2'
loop_
_atom_site_label
_atom_site_fract_x
_atom_site_fract_y
_atom_site_fract_z
_atom_site_occupancy
Be1 0.2031 0.0774 0.1877 1
Co1 0.0000 0.4095 0.2500 1
Se1 0.0000 0.2170 0.7500 1
O1 0.1036 0.2437 0.1568 1
O2 0.1139 0.4189 0.6556 1
O3 0.1506 0.0638 0.8411 1
# - energy (eV per cell) = -238.6